(1)
! GGA-PBE TcSbIr2, optimized geometry; values from VASP
! ΔE_f (raw) in kJ per mole of atoms: 59.7
&SYSTEM
  ibrav = 0, nat = 8, ntyp = 3
/
ATOMIC_SPECIES
Tc 98.00 Tc.upf
Sb 121.76 Sb.upf
Ir 192.22 Ir.upf
ATOMIC_POSITIONS angstrom
Tc 0.000 0.000 0.000
Tc 0.000 2.898 2.823
Sb 2.898 0.000 2.823
Sb 0.000 0.000 5.647
Ir 4.348 1.283 -1.412
Ir 1.283 1.449 1.412
Ir -1.449 1.616 4.235
Ir 1.616 1.449 7.059
CELL_PARAMETERS angstrom
-2.898 2.898 5.647
2.898 -2.898 5.647
2.898 2.898 -5.647

=====

(2)
! GGA-PBE KNi2As2, optimized geometry; values from VASP
! E_form in eV/atom: -0.03
&SYSTEM
  ibrav = 0, nat = 10, ntyp = 3
/
ATOMIC_SPECIES
K 39.10 K.upf
Ni 58.69 Ni.upf
As 74.92 As.upf
ATOMIC_POSITIONS angstrom
K 0.000 0.000 0.000
K 4.004 4.004 0.000
Ni 0.920 3.084 1.434
Ni 3.084 7.088 1.434
Ni 4.925 0.920 1.434
Ni 7.088 4.925 1.434
As 1.079 5.083 0.000
As 2.925 1.079 0.000
As 5.083 6.930 0.000
As 6.930 2.925 0.000
CELL_PARAMETERS angstrom
8.008 0.000 0.000
0.000 8.008 0.000
0.000 0.000 2.868

=====

Calculated energy (eV/atom), listed in the same order as above: -7.434 -4.418
Calculated total magnetization (μB per atom), listed in the same order as above: 0.000 0.000